Compound: CuAg2GeBi
Source: Alexandria
Functional: PBE
Structure: optimized geometry

Properties
The formation energy is 2.18 eV/f.u. For the total magnetic moment, the calculation gives 0.000 μB per atom.

Cell and atoms, written as CIF:
```
data_CuAg2GeBi
_chemical_formula_sum 'Cu1 Ag2 Ge1 Bi1'
_cell_length_a 5.0201
_cell_length_b 5.0201
_cell_length_c 4.5390
_cell_angle_alpha 90.00
_cell_angle_beta 90.00
_cell_angle_gamma 90.00
_space_group_name_H-M_alt 'P 4/m m m'
_space_group_IT_number 123
_space_group_name_Hall '-P 4 2'
loop_
_atom_site_label
_atom_site_fract_x
_atom_site_fract_y
_atom_site_fract_z
_atom_site_occupancy
Cu1 0.0000 0.0000 0.0000 1
Ag1 0.0000 0.5000 0.5000 1
Ge1 0.0000 0.0000 0.5000 1
Bi1 0.5000 0.5000 0.0000 1
```